BaTePt2 | PBE-GGA | optimized geometry

Output
Uncorrected energy: -4.30 eV per atom
DOS at the Fermi energy: 0.807 states/eV per atom
Uncorrected formation energy: -1.7 kJ/mol of atoms

Cell lengths 7.3103, 7.3103, 7.3103 Å; angles 90.00, 90.00, 90.00 degrees
Last column: nearest neighbours and their distance in Å.
Space group F-43m (No. 216)
Asymmetric unit:
1 Ba 0.0000 0.0000 0.0000 (multiplicity 4)  4 Pt 3.17, 4 Te 3.17
2 Te 0.2500 0.2500 0.2500 (multiplicity 4)  4 Ba 3.17, 4 Pt 3.17
3 Pt 0.0000 0.0000 0.5000 (multiplicity 4)  4 Te 3.17, 4 Pt 3.17
4 Pt 0.2500 0.2500 0.7500 (multiplicity 4)  4 Pt 3.17, 4 Ba 3.17